## MgCu2Sb (PBE-GGA)

Data for crystalline MgCu2Sb at its relaxed geometry.

Calculated values
As for the crystal system: cubic. The total energy is -3.202 eV per atom.

Cell and atoms, written as extended XYZ:
```
16
Lattice="6.4861 0.0000 0.0000 0.0000 6.4861 0.0000 0.0000 0.0000 6.4861" Properties=species:S:1:pos:R:3 pbc="T T T"
Cu 1.7200 1.7200 1.7200
Cu 4.7661 1.7200 1.7200
Cu 1.7200 4.7661 1.7200
Cu 4.7661 4.7661 1.7200
Cu 1.7200 1.7200 4.7661
Cu 4.7661 1.7200 4.7661
Cu 1.7200 4.7661 4.7661
Cu 4.7661 4.7661 4.7661
Mg 3.2430 3.2430 0.0000
Mg 3.2430 0.0000 3.2430
Mg 0.0000 3.2430 3.2430
Mg 3.2430 3.2430 3.2430
Sb 0.0000 0.0000 0.0000
Sb 3.2430 0.0000 0.0000
Sb 0.0000 3.2430 0.0000
Sb 0.0000 0.0000 3.2430
```